Material: Pm2Pr2Sm2Mg
Method: DFT, PBE
State: optimized geometry

a = 11.9036 Å, b = 3.5826 Å, c = 11.9231 Å
α = 90.00°, β = 112.01°, γ = 90.00°
With the nearest neighbours (Å) after each atom.
Space group C2/m (No. 12)
Unique sites:
Pm1 0.2382 0.0000 0.3652 (multiplicity 4)  3 Mg 3.43-3.75, 3 Pr 3.44-3.62, 4 Pm 3.58-3.60, 2 Sm 3.60
Pr1 0.0459 0.5000 0.7618 (multiplicity 4)  3 Pm 3.44-3.62, 2 Mg 3.46, 4 Sm 3.57-3.67, 2 Pr 3.58
Sm1 0.1702 0.5000 0.0851 (multiplicity 4)  4 Pr 3.57-3.67, 5 Sm 3.58-3.79, 2 Pm 3.60
Mg1 0.0000 0.0000 0.5000 (multiplicity 2)  6 Pm 3.43-3.75, 4 Pr 3.46, 2 Mg 3.58

Electronic total energy: -4.2164 eV per atom

***

Material: CsPaAgS4
Method: DFT, PBE
State: optimized geometry

a = 7.0889 Å, b = 5.5091 Å, c = 10.0630 Å
α = 90.00°, β = 108.86°, γ = 90.00°
With the nearest neighbours (Å) after each atom.
Space group P2_1/m (No. 11)
Unique sites:
Cs1 0.2436 0.2500 0.0383 (multiplicity 2)  3 S 3.36-3.38
Pa1 0.2697 0.2500 0.5528 (multiplicity 2)  6 S 2.59-2.86
Ag1 0.2463 0.7500 0.3071 (multiplicity 2)  4 S 2.42-2.58
S1 0.0302 0.5210 0.6742 (multiplicity 4)  1 Ag 2.52, 1 S 2.52, 1 Pa 2.82
S2 0.4365 0.7500 0.5730 (multiplicity 2)  1 Ag 2.58, 1 Pa 2.76
S3 0.4942 0.7500 0.1894 (multiplicity 2)  1 Ag 2.42, 1 Pa 2.59

E_form (uncorrected): -1058 meV/atom
Electronic total energy: -5.3020 eV per atom

***

Material: Be3Os4
Method: DFT, PBE
State: optimized geometry

a = 4.4568 Å, b = 4.4568 Å, c = 4.8441 Å
α = 90.00°, β = 90.00°, γ = 120.00°
With the nearest neighbours (Å) after each atom.
Space group P6/mmm (No. 191)
Unique sites:
Be1 0.0000 0.5000 0.0000 (multiplicity 3)  4 Be 2.23
Os1 0.0000 0.0000 0.2502 (multiplicity 2)  2 Os 2.42, 6 Be 2.54
Os2 0.3333 0.6667 0.5000 (multiplicity 2)  9 Os 2.57-2.84, 6 Be 2.74

Electronic total energy: -7.9647 eV per atom

***

Material: MnCuSi2
Method: DFT, PBE
State: optimized geometry

a = 3.1672 Å, b = 3.1672 Å, c = 4.8210 Å
α = 90.00°, β = 90.00°, γ = 90.00°
With the nearest neighbours (Å) after each atom.
Space group P4mm (No. 99)
Unique sites:
Mn1 0.0000 0.0000 0.0000 (multiplicity 1)  6 Si 2.35-2.47
Cu1 0.5000 0.5000 0.6911 (multiplicity 1)  6 Si 2.41-2.45, 4 Mn 2.69
Si1 0.0000 0.0000 0.4872 (multiplicity 1)  2 Mn 2.35-2.47, 4 Cu 2.45
Si2 0.5000 0.5000 0.1902 (multiplicity 1)  2 Cu 2.41, 4 Mn 2.42, 4 Si 2.66

E_form (uncorrected): -143 meV/atom
Electronic total energy: -6.1707 eV per atom